(1)
DFT (PBE) results for crystalline Ca2YNi at its relaxed geometry.

Computed properties:
Formation enthalpy at 0 K: 0 kJ/mol of formula units
Distance to the lowest polymorph of the same formula: 0.1075 eV/atom
Raw total energy: -4.061 eV per atom

a = 3.5061 Å, b = 4.2521 Å, c = 16.5836 Å
α = 90.00°, β = 90.00°, γ = 90.00°
Space group Immm (No. 71)
Unique sites:
Ca  0.0000  0.0000  0.1634 (multiplicity 4)
Y  0.0000  0.5000  0.0000 (multiplicity 2)
Ni  0.0000  0.5000  0.5000 (multiplicity 2)

---

(2)
DFT (PBE) results for crystalline Np2Ga5Ir at its relaxed geometry.

Computed properties:
Formation enthalpy at 0 K: -139 kJ/mol of formula units
Raw total energy: -6.415 eV per atom

a = 8.2648 Å, b = 8.2721 Å, c = 8.7912 Å
α = 90.00°, β = 90.00°, γ = 90.00°
Space group Fmmm (No. 69)
Unique sites:
Np  0.2500  0.2500  0.0000 (multiplicity 8)
Ga  0.0000  0.0000  0.0000 (multiplicity 4)
Ga  0.0000  0.2500  0.2500 (multiplicity 8)
Ga  0.2500  0.0000  0.2500 (multiplicity 8)
Ir  0.0000  0.0000  0.5000 (multiplicity 4)

---

(3)
DFT (PBE) results for crystalline BeCdP2 at its relaxed geometry.

Computed properties:
Formation enthalpy at 0 K: 192 kJ/mol of formula units
Distance to the lowest polymorph of the same formula: 0.4282 eV/atom
Raw total energy: -3.369 eV per atom

a = 5.1520 Å, b = 7.0783 Å, c = 3.9713 Å
α = 90.00°, β = 114.58°, γ = 90.00°
Space group C2/m (No. 12)
Unique sites:
Be  0.0000  0.0000  0.0000 (multiplicity 2)
Cd  0.0000  0.5000  0.0000 (multiplicity 2)
P  0.2500  0.2500  0.5000 (multiplicity 4)